(1)
An optimized crystal structure of Li2V2Bi, computed with GGA-PBE.

Results
Formation enthalpy at 0 K = 466.1 meV/atom

Cell: 7.569 7.569 3.194 Å, 90.00 90.00 90.00°
Element x y z (fractional)
Li 0.196 0.304 0.000
Li 0.304 0.804 0.000
Li 0.696 0.196 0.000
Li 0.804 0.696 0.000
V 0.088 0.588 0.500
V 0.412 0.088 0.500
V 0.588 0.912 0.500
V 0.912 0.412 0.500
Bi 0.000 0.000 0.000
Bi 0.500 0.500 0.000

(2)
An optimized crystal structure of HgIr2Os, computed with GGA-PBE.

Results
Formation enthalpy at 0 K = 636.8 meV/atom

Cell: 2.760 4.843 9.743 Å, 90.00 90.00 90.00°
Element x y z (fractional)
Hg 0.000 0.000 0.000
Hg 0.500 0.500 0.000
Ir 0.000 0.000 0.500
Ir 0.000 0.500 0.263
Ir 0.500 0.000 0.263
Ir 0.500 0.500 0.500
Os 0.000 0.500 0.731
Os 0.500 0.000 0.731

(3)
An optimized crystal structure of CoTe2WN, computed with GGA-PBE.

Results
Formation energy (no corrections) = 0.75 eV per atom

Cell: 5.413 5.413 3.794 Å, 90.00 90.00 90.00°
Element x y z (fractional)
Co 0.000 0.000 0.000
Te 0.000 0.500 0.500
Te 0.500 0.000 0.500
W 0.500 0.500 0.500
N 0.500 0.500 0.000

(4)
An optimized crystal structure of YHoI6, computed with GGA-PBE.

Results
Formation energy (no corrections) = -1.33 eV per atom

Cell: 8.156 8.156 8.156 Å, 55.70 55.70 55.70°
Element x y z (fractional)
Y 0.000 0.000 0.000
Ho 0.500 0.500 0.500
I 0.092 0.749 0.409
I 0.251 0.591 0.908
I 0.409 0.092 0.749
I 0.591 0.908 0.251
I 0.749 0.409 0.092
I 0.908 0.251 0.591

(5)
An optimized crystal structure of Pr2CdAu3, computed with GGA-PBE.

Results
Formation enthalpy at 0 K = -661.4 meV/atom

Cell: 9.664 9.099 6.043 Å, 76.37 66.20 37.42°
Element x y z (fractional)
Pr 0.244 0.756 0.756
Pr 0.250 0.250 0.250
Pr 0.750 0.750 0.750
Pr 0.756 0.244 0.244
Cd 0.333 0.333 0.667
Cd 0.667 0.667 0.333
Au 0.167 0.167 0.833
Au 0.169 0.663 0.337
Au 0.337 0.831 0.169
Au 0.663 0.169 0.831
Au 0.831 0.337 0.663
Au 0.833 0.833 0.167

(6)
An optimized crystal structure of TaBeCu2, computed with GGA-PBE.

Results
Formation enthalpy at 0 K = 243.4 meV/atom

Cell: 3.654 3.654 3.912 Å, 90.00 90.00 90.00°
Element x y z (fractional)
Ta 0.000 0.000 0.000
Be 0.500 0.500 0.000
Cu 0.000 0.500 0.500
Cu 0.500 0.000 0.500

(7)
An optimized crystal structure of H2SI, computed with GGA-PBE.

Results
Calculated total energy = -45.4 eV for the cell shown

Cell: 5.569 5.569 7.906 Å, 90.00 90.00 90.00°
Element x y z (fractional)
H 0.000 0.000 0.000
H 0.000 0.500 0.000
H 0.250 0.250 0.750
H 0.250 0.750 0.250
H 0.500 0.000 0.500
H 0.500 0.500 0.500
H 0.750 0.250 0.750
H 0.750 0.750 0.250
S 0.000 0.250 0.875
S 0.000 0.750 0.125
S 0.500 0.250 0.625
S 0.500 0.750 0.375
I 0.000 0.250 0.375
I 0.000 0.750 0.625
I 0.500 0.250 0.125
I 0.500 0.750 0.875

(8)
An optimized crystal structure of CoSbRh4, computed with GGA-PBE.

Results
Formation energy (no corrections) = 0.36 eV per atom

Cell: 5.160 5.160 5.160 Å, 60.00 60.00 60.00°
Element x y z (fractional)
Co 0.000 0.000 0.000
Sb 0.250 0.250 0.250
Rh 0.124 0.625 0.625
Rh 0.625 0.124 0.625
Rh 0.625 0.625 0.124
Rh 0.625 0.625 0.625

- Which formula does entry 1 have?
  Li2V2Bi